Computed, not measured: crystalline MnCrPb2 at its relaxed geometry at the PBE-GGA level of DFT.

Output
ΔE to the lowest computed polymorph: 427 meV/atom
formation energy from the elements: 71.61 kJ/mol of atoms

Cell lengths 6.3181, 6.3181, 6.3181 Å; angles 104.87, 104.87, 119.13 degrees
Closest atoms and distances in Å follow each position.
Element x y z (fractional)
Mn 0.0000 0.0000 0.0000  4 Pb 2.82
Mn 0.7500 0.2500 0.5000  4 Pb 2.82
Cr 0.2500 0.7500 0.5000  4 Pb 2.86, 2 Mn 3.20
Cr 0.5000 0.5000 0.0000  4 Pb 2.86, 2 Mn 3.20
Pb 0.1204 0.6250 0.9954  2 Mn 2.82, 2 Cr 2.86
Pb 0.3750 0.3704 0.4954  2 Mn 2.82, 2 Cr 2.86
Pb 0.6296 0.1250 0.0046  2 Mn 2.82, 2 Cr 2.86
Pb 0.8750 0.8796 0.5046  2 Mn 2.82, 2 Cr 2.86